The following is a DFT calculation (PBE-GGA) of a geometry-optimized ZrW4 structure.

Summary:
Space group ... I4/m, No. 87
Formation energy from the elements ... 0.045 eV per atom
N(E_F) ... 2.49 states/eV/f.u.

Geometry as POSCAR:
```
ZrW4
1.0
-3.647 3.647 1.607
3.647 -3.647 1.607
3.647 3.647 -1.607
Zr W
1 4
direct
0.000 0.000 0.000
0.191 0.397 0.588
0.397 0.809 0.205
0.603 0.191 0.795
0.809 0.603 0.412
```

The following is a DFT calculation (PBE-GGA) of a geometry-optimized LaPmIr2 structure.

Summary:
Space group ... Fm-3m, No. 225
Formation energy from the elements ... -0.576 eV per atom
N(E_F) ... 4.02 states/eV/f.u.

Geometry as POSCAR:
```
LaPmIr2
1.0
0.000 3.560 3.560
3.560 0.000 3.560
3.560 3.560 0.000
La Pm Ir
1 1 2
direct
0.000 0.000 0.000
0.500 0.500 0.500
0.250 0.250 0.250
0.750 0.750 0.750
```

The following is a DFT calculation (PBE-GGA) of a geometry-optimized Ta structure.

Summary:
Space group ... P6_3/mmc, No. 194
Formation energy from the elements ... 1.646 eV per atom
N(E_F) ... 1.34 states/eV/f.u.

Geometry as POSCAR:
```
Ta
1.0
4.612 0.000 0.000
-2.306 3.995 0.000
0.000 0.000 4.885
Ta
4
direct
0.000 0.000 0.250
0.000 0.000 0.750
0.333 0.667 0.250
0.667 0.333 0.750
```